(1)
# PBE-GGA TlAg2Hg, relaxed
# * ΔH_f (0 K): 0.118 eV per atom
# * space-group type: Pm
# * total moment: 0.0 μB per cell
# * uncorrected energy: -1.975 eV per atom
data_TlAg2Hg
_chemical_formula_sum 'Tl1 Ag2 Hg1'
_cell_length_a 5.014
_cell_length_b 3.205
_cell_length_c 5.523
_cell_angle_alpha 83.26
_cell_angle_beta 90.00
_cell_angle_gamma 90.00
_space_group_name_H-M_alt 'P 1'
_space_group_IT_number 1
loop_
_space_group_symop_operation_xyz
'x,y,z'
loop_
_atom_site_label
_atom_site_fract_x
_atom_site_fract_y
_atom_site_fract_z
_atom_site_occupancy
Ag1 0.500 0.099 0.280 1
Hg1 0.000 0.556 0.445 1
Tl1 0.500 0.683 0.796 1
Ag2 0.000 0.162 0.978 1

=====

(2)
# PBE-GGA LaNd6Ho5, relaxed
# * ΔH_f (0 K): 0.017 eV per atom
# * space-group type: C2/m
# * total moment: 0.0 μB per cell
# * uncorrected energy: -4.685 eV per atom
data_LaNd6Ho5
_chemical_formula_sum 'La1 Nd6 Ho5'
_cell_length_a 11.940
_cell_length_b 6.288
_cell_length_c 6.289
_cell_angle_alpha 60.01
_cell_angle_beta 84.96
_cell_angle_gamma 79.88
_space_group_name_H-M_alt 'P 1'
_space_group_IT_number 1
loop_
_space_group_symop_operation_xyz
'x,y,z'
loop_
_atom_site_label
_atom_site_fract_x
_atom_site_fract_y
_atom_site_fract_z
_atom_site_occupancy
La1 0.000 0.000 0.000 1
Ho1 0.000 0.667 0.667 1
Nd1 0.253 0.916 0.666 1
Ho2 0.500 0.167 0.666 1
Nd2 0.747 0.749 0.000 1
Nd3 0.253 0.582 0.334 1
Nd4 0.747 0.084 0.334 1
Nd5 0.253 0.251 0.000 1
Nd6 0.747 0.418 0.666 1
Ho3 0.000 0.333 0.333 1
Ho4 0.500 0.500 0.000 1
Ho5 0.500 0.833 0.334 1

=====

(3)
# PBE-GGA Sm6C3S2, relaxed
# * space-group type: C2/m
# * total moment: 1.0 μB per cell
# * uncorrected energy: -6.745 eV per atom
data_Sm6C3S2
_chemical_formula_sum 'Sm6 C3 S2'
_cell_length_a 6.557
_cell_length_b 6.557
_cell_length_c 6.916
_cell_angle_alpha 80.82
_cell_angle_beta 71.40
_cell_angle_gamma 60.00
_space_group_name_H-M_alt 'P 1'
_space_group_IT_number 1
loop_
_space_group_symop_operation_xyz
'x,y,z'
loop_
_atom_site_label
_atom_site_fract_x
_atom_site_fract_y
_atom_site_fract_z
_atom_site_occupancy
C1 0.000 0.000 0.000 1
C2 0.330 0.341 0.000 1
Sm1 0.936 0.660 0.213 1
Sm2 0.404 0.660 0.787 1
Sm3 0.064 0.340 0.787 1
Sm4 0.743 0.000 0.793 1
Sm5 0.257 0.000 0.207 1
S1 0.166 0.669 0.500 1
S2 0.834 0.331 0.500 1
Sm6 0.596 0.340 0.213 1
C3 0.670 0.659 0.000 1

=====

(4)
# PBE-GGA PIrPt4, relaxed
# * ΔH_f (0 K): 0.648 eV per atom
# * space-group type: F-43m
# * total moment: 0.3 μB per cell
# * uncorrected energy: -5.758 eV per atom
data_PIrPt4
_chemical_formula_sum 'P1 Ir1 Pt4'
_cell_length_a 5.218
_cell_length_b 5.218
_cell_length_c 5.218
_cell_angle_alpha 60.00
_cell_angle_beta 60.00
_cell_angle_gamma 60.00
_space_group_name_H-M_alt 'P 1'
_space_group_IT_number 1
loop_
_space_group_symop_operation_xyz
'x,y,z'
loop_
_atom_site_label
_atom_site_fract_x
_atom_site_fract_y
_atom_site_fract_z
_atom_site_occupancy
Pt1 0.874 0.375 0.375 1
P1 0.000 0.000 0.000 1
Pt2 0.375 0.375 0.874 1
Pt3 0.375 0.375 0.375 1
Pt4 0.375 0.874 0.375 1
Ir1 0.750 0.750 0.750 1

=====

(5)
# PBE-GGA RbMgRu3, relaxed
# * ΔH_f (0 K): 2.698 eV per atom
# * space-group type: Pm-3m
# * total moment: 4.2 μB per cell
# * uncorrected energy: -3.380 eV per atom
data_RbMgRu3
_chemical_formula_sum 'Rb1 Mg1 Ru3'
_cell_length_a 4.797
_cell_length_b 4.797
_cell_length_c 4.797
_cell_angle_alpha 90.00
_cell_angle_beta 90.00
_cell_angle_gamma 90.00
_space_group_name_H-M_alt 'P 1'
_space_group_IT_number 1
loop_
_space_group_symop_operation_xyz
'x,y,z'
loop_
_atom_site_label
_atom_site_fract_x
_atom_site_fract_y
_atom_site_fract_z
_atom_site_occupancy
Mg1 0.500 0.500 0.500 1
Rb1 0.000 0.000 0.000 1
Ru1 0.000 0.000 0.500 1
Ru2 0.500 0.000 0.000 1
Ru3 0.000 0.500 0.000 1

=====

(6)
# PBE-GGA RbHgCl4, relaxed
# * space-group type: C2/m
# * total moment: 0.0 μB per cell
# * uncorrected energy: -2.279 eV per atom
data_RbHgCl4
_chemical_formula_sum 'Rb2 Hg2 Cl8'
_cell_length_a 7.055
_cell_length_b 6.510
_cell_length_c 9.881
_cell_angle_alpha 109.23
_cell_angle_beta 101.83
_cell_angle_gamma 90.00
_space_group_name_H-M_alt 'P 1'
_space_group_IT_number 1
loop_
_space_group_symop_operation_xyz
'x,y,z'
loop_
_atom_site_label
_atom_site_fract_x
_atom_site_fract_y
_atom_site_fract_z
_atom_site_occupancy
Cl1 0.495 0.331 0.217 1
Rb1 0.259 0.240 0.479 1
Hg1 0.245 0.575 0.150 1
Cl2 0.000 0.757 0.000 1
Cl3 0.495 0.886 0.217 1
Cl4 0.000 0.243 0.000 1
Cl5 0.844 0.294 0.588 1
Cl6 0.505 0.669 0.783 1
Cl7 0.505 0.114 0.783 1
Hg2 0.755 0.425 0.850 1
Rb2 0.741 0.760 0.521 1
Cl8 0.156 0.706 0.412 1

=====

(7)
# PBE-GGA Ta2TcO, relaxed
# * space-group type: I-42d
# * total moment: 0.0 μB per cell
# * uncorrected energy: -10.245 eV per atom
data_Ta2TcO
_chemical_formula_sum 'Ta4 Tc2 O2'
_cell_length_a 6.167
_cell_length_b 6.167
_cell_length_c 5.439
_cell_angle_alpha 55.46
_cell_angle_beta 55.46
_cell_angle_gamma 90.00
_space_group_name_H-M_alt 'P 1'
_space_group_IT_number 1
loop_
_space_group_symop_operation_xyz
'x,y,z'
loop_
_atom_site_label
_atom_site_fract_x
_atom_site_fract_y
_atom_site_fract_z
_atom_site_occupancy
Ta1 0.375 0.448 0.750 1
Ta2 0.198 0.625 0.250 1
O1 0.500 0.500 0.000 1
Tc1 0.000 0.000 0.000 1
Tc2 0.750 0.250 0.500 1
O2 0.250 0.750 0.500 1
Ta3 0.875 0.802 0.750 1
Ta4 0.552 0.125 0.250 1

=====

(8)
# PBE-GGA Th6Ge2Bi3As, relaxed
# * ΔH_f (0 K): -0.819 eV per atom
# * space-group type: C2/m
# * total moment: 0.0 μB per cell
# * uncorrected energy: -6.656 eV per atom
data_Th6Ge2Bi3As
_chemical_formula_sum 'Th6 Ge2 Bi3 As1'
_cell_length_a 4.393
_cell_length_b 8.983
_cell_length_c 10.012
_cell_angle_alpha 104.90
_cell_angle_beta 102.67
_cell_angle_gamma 90.00
_space_group_name_H-M_alt 'P 1'
_space_group_IT_number 1
loop_
_space_group_symop_operation_xyz
'x,y,z'
loop_
_atom_site_label
_atom_site_fract_x
_atom_site_fract_y
_atom_site_fract_z
_atom_site_occupancy
Th1 0.993 0.767 0.986 1
Th2 0.674 0.566 0.347 1
Th3 0.326 0.434 0.653 1
Ge1 0.834 0.668 0.667 1
Ge2 0.166 0.332 0.333 1
Bi1 0.166 0.833 0.332 1
Th4 0.007 0.233 0.014 1
Bi2 0.834 0.167 0.668 1
Th5 0.339 0.899 0.679 1
As1 0.500 0.000 0.000 1
Bi3 0.500 0.500 0.000 1
Th6 0.661 0.101 0.321 1

=====

What is the formula in the eighth record? Th6Ge2Bi3As

=====

Which of these has the highest uncorrected energy? TlAg2Hg

=====

What is the formula in the third record? Sm6C3S2